No. 1
A relaxed ScBe3 crystal, computed with PBE.

abc: 6.9375 6.9375 6.9375
angles: 147.23 147.23 47.02
Last column: nearest neighbours and their distance in Å.
Fractional coordinates of all 8 atoms:
Be (0.8594, 0.8594, 0.0000)  8 Be 2.40-2.65
Be (0.7500, 0.2500, 0.5000)  4 Be 2.40, 4 Sc 2.44
Be (0.2500, 0.7500, 0.5000)  4 Be 2.40, 4 Sc 2.44
Be (0.0000, 0.5000, 0.5000)  4 Sc 2.61, 8 Be 2.65-2.77
Sc (0.6355, 0.6355, 0.0000)  8 Be 2.44-2.61
Be (0.1406, 0.1406, 0.0000)  8 Be 2.40-2.65
Be (0.5000, 0.0000, 0.5000)  4 Sc 2.61, 8 Be 2.65-2.77
Sc (0.3645, 0.3645, 0.0000)  8 Be 2.44-2.61

Results
Distance to the lowest polymorph of the same formula   0.271 eV/atom
Energy of formation from the pure elements   13 kJ per mole of atoms

No. 2
A relaxed In2BiF2 crystal, computed with PBE.

abc: 8.0334 8.0334 3.2047
angles: 90.00 90.00 90.00
Last column: nearest neighbours and their distance in Å.
Fractional coordinates of all 10 atoms:
Bi (0.0000, 0.0000, 0.0000)  2 Bi 3.20, 4 F 3.24, 8 In 3.45
In (0.6518, 0.8482, 0.5000)  4 F 2.68
Bi (0.5000, 0.5000, 0.0000)  2 Bi 3.20, 4 F 3.24, 8 In 3.45
F (0.6126, 0.1126, 0.0000)  1 F 2.56, 4 In 2.68
F (0.1126, 0.3874, 0.0000)  1 F 2.56, 4 In 2.68
F (0.8874, 0.6126, 0.0000)  1 F 2.56, 4 In 2.68
In (0.1518, 0.6518, 0.5000)  4 F 2.68
In (0.3482, 0.1518, 0.5000)  4 F 2.68
F (0.3874, 0.8874, 0.0000)  1 F 2.56, 4 In 2.68
In (0.8482, 0.3482, 0.5000)  4 F 2.68

Results
Distance to the lowest polymorph of the same formula   0.000 eV/atom
Raw formation energy   -1067 meV/atom

No. 3
A relaxed Ca2Zn3Cu5 crystal, computed with PBE.

abc: 5.5956 8.4754 8.4754
angles: 72.74 70.72 70.72
Last column: nearest neighbours and their distance in Å.
Fractional coordinates of all 20 atoms:
Zn (0.7500, 0.0000, 0.0000)  6 Cu 2.55-2.56, 2 Zn 2.80
Cu (0.2500, 0.5000, 0.5000)  4 Zn 2.48
Cu (0.9560, 0.7940, 0.7940)  2 Cu 2.49, 3 Zn 2.49-2.56
Zn (0.1463, 0.2609, 0.4465)  5 Cu 2.48-2.49
Ca (0.1328, 0.5963, 0.1381)  10 Cu 3.01-3.36, 4 Zn 3.12-3.28
Zn (0.3537, 0.5535, 0.7391)  5 Cu 2.48-2.49
Zn (0.8537, 0.7391, 0.5535)  5 Cu 2.48-2.49
Cu (0.0440, 0.2060, 0.2060)  2 Cu 2.49, 3 Zn 2.49-2.56
Cu (0.6076, 0.7274, 0.0575)  3 Zn 2.48-2.55, 2 Cu 2.49
Cu (0.1076, 0.0575, 0.7274)  3 Zn 2.48-2.55, 2 Cu 2.49
Ca (0.6328, 0.1381, 0.5963)  10 Cu 3.01-3.36, 4 Zn 3.12-3.28
Cu (0.4560, 0.7940, 0.7940)  2 Cu 2.49, 3 Zn 2.49-2.56
Zn (0.2500, 0.0000, 0.0000)  6 Cu 2.55-2.56, 2 Zn 2.80
Ca (0.3672, 0.8619, 0.4037)  10 Cu 3.01-3.36, 4 Zn 3.12-3.28
Cu (0.8924, 0.9425, 0.2726)  3 Zn 2.48-2.55, 2 Cu 2.49
Ca (0.8672, 0.4037, 0.8619)  10 Cu 3.01-3.36, 4 Zn 3.12-3.28
Cu (0.5440, 0.2060, 0.2060)  2 Cu 2.49, 3 Zn 2.49-2.56
Cu (0.7500, 0.5000, 0.5000)  4 Zn 2.48
Zn (0.6463, 0.4465, 0.2609)  5 Cu 2.48-2.49
Cu (0.3924, 0.2726, 0.9425)  3 Zn 2.48-2.55, 2 Cu 2.49

Results
Energy of formation from the pure elements   -13 kJ per mole of atoms

No. 4
A relaxed NaIrN2O crystal, computed with PBE.

abc: 3.7701 3.7701 4.3691
angles: 90.00 90.00 90.00
Last column: nearest neighbours and their distance in Å.
Fractional coordinates of all 5 atoms:
Na (0.5000, 0.5000, 0.5000)  4 O 2.67, 8 N 2.89
N (0.0000, 0.5000, 0.0000)  2 Ir 1.89
O (0.0000, 0.0000, 0.5000)  2 Ir 2.18
N (0.5000, 0.0000, 0.0000)  2 Ir 1.89
Ir (0.0000, 0.0000, 0.0000)  4 N 1.89

Results
Raw formation energy   301 meV/atom

No. 5
A relaxed ZnSb2Pd2 crystal, computed with PBE.

abc: 6.9724 6.9724 4.1010
angles: 90.00 90.00 90.00
Last column: nearest neighbours and their distance in Å.
Fractional coordinates of all 10 atoms:
Zn (0.5000, 0.5000, 0.0000)  4 Pd 2.67
Sb (0.8369, 0.3369, 0.5000)  6 Pd 2.78-2.98
Pd (0.6460, 0.1460, 0.0000)  2 Zn 2.67, 6 Sb 2.78-2.98, 1 Pd 2.88
Pd (0.3540, 0.8540, 0.0000)  2 Zn 2.67, 6 Sb 2.78-2.98, 1 Pd 2.88
Pd (0.8540, 0.6460, 0.0000)  2 Zn 2.67, 6 Sb 2.78-2.98, 1 Pd 2.88
Pd (0.1460, 0.3540, 0.0000)  2 Zn 2.67, 6 Sb 2.78-2.98, 1 Pd 2.88
Sb (0.1631, 0.6631, 0.5000)  6 Pd 2.78-2.98
Sb (0.6631, 0.8369, 0.5000)  6 Pd 2.78-2.98
Sb (0.3369, 0.1631, 0.5000)  6 Pd 2.78-2.98
Zn (0.0000, 0.0000, 0.0000)  4 Pd 2.67

Results
Distance to the lowest polymorph of the same formula   0.000 eV/atom
Raw formation energy   -210 meV/atom

No. 6
A relaxed Ba5NaSr2Tl2 crystal, computed with PBE.

abc: 4.5400 15.0959 15.0959
angles: 90.00 90.00 90.00
Last column: nearest neighbours and their distance in Å.
Fractional coordinates of all 20 atoms:
Ba (0.5000, 0.7896, 0.9473)  2 Tl 3.49
Ba (0.5000, 0.0527, 0.7896)  2 Tl 3.49
Sr (0.0000, 0.3093, 0.8093)  1 Tl 3.75
Ba (0.5000, 0.7104, 0.4473)  2 Tl 3.49
Ba (0.5000, 0.0000, 0.5000)  4 Tl 3.64
Ba (0.5000, 0.5527, 0.7104)  2 Tl 3.49
Na (0.0000, 0.5000, 0.5000)  8 Ba 3.98
Na (0.0000, 0.0000, 0.0000)  8 Ba 3.98
Tl (0.0000, 0.1336, 0.6336)  6 Ba 3.49-3.64, 1 Sr 3.75
Tl (0.0000, 0.3664, 0.1336)  6 Ba 3.49-3.64, 1 Sr 3.75
Ba (0.5000, 0.4473, 0.2896)  2 Tl 3.49
Ba (0.5000, 0.5000, 0.0000)  4 Tl 3.64
Tl (0.0000, 0.8664, 0.3664)  6 Ba 3.49-3.64, 1 Sr 3.75
Ba (0.5000, 0.9473, 0.2104)  2 Tl 3.49
Ba (0.5000, 0.2104, 0.0527)  2 Tl 3.49
Sr (0.0000, 0.8093, 0.6907)  1 Tl 3.75
Tl (0.0000, 0.6336, 0.8664)  6 Ba 3.49-3.64, 1 Sr 3.75
Sr (0.0000, 0.6907, 0.1907)  1 Tl 3.75
Ba (0.5000, 0.2896, 0.5527)  2 Tl 3.49
Sr (0.0000, 0.1907, 0.3093)  1 Tl 3.75

Results
Energy of formation from the pure elements   -14 kJ per mole of atoms

> Number 5 is which compound?

ZnSb2Pd2

Copy entry 1 word for word.
A relaxed ScBe3 crystal, computed with PBE.

abc: 6.9375 6.9375 6.9375
angles: 147.23 147.23 47.02
Last column: nearest neighbours and their distance in Å.
Fractional coordinates of all 8 atoms:
Be (0.8594, 0.8594, 0.0000)  8 Be 2.40-2.65
Be (0.7500, 0.2500, 0.5000)  4 Be 2.40, 4 Sc 2.44
Be (0.2500, 0.7500, 0.5000)  4 Be 2.40, 4 Sc 2.44
Be (0.0000, 0.5000, 0.5000)  4 Sc 2.61, 8 Be 2.65-2.77
Sc (0.6355, 0.6355, 0.0000)  8 Be 2.44-2.61
Be (0.1406, 0.1406, 0.0000)  8 Be 2.40-2.65
Be (0.5000, 0.0000, 0.5000)  4 Sc 2.61, 8 Be 2.65-2.77
Sc (0.3645, 0.3645, 0.0000)  8 Be 2.44-2.61

Results
Distance to the lowest polymorph of the same formula   0.271 eV/atom
Energy of formation from the pure elements   13 kJ per mole of atoms